[1]
The following is a DFT calculation (GGA-PBE) of a relaxed structure of AlTlCdF6.

abc: 7.609 7.303 7.332
angles: 119.87 121.26 90.00
Sites, in units of the cell vectors:
Tl 0.141 0.391 0.281
Tl 0.859 0.609 0.719
F 0.862 0.112 0.725
F 0.494 0.244 0.988
F 0.138 0.888 0.275
F 0.506 0.756 0.012
F 0.205 0.376 0.747
F 0.795 0.624 0.253
F 0.542 0.376 0.747
F 0.458 0.129 0.253
F 0.542 0.871 0.747
F 0.795 0.129 0.253
F 0.205 0.871 0.747
F 0.458 0.624 0.253
Cd 0.000 0.000 0.500
Cd 0.500 0.000 0.500
Al 0.500 0.000 0.000
Al 0.500 0.500 0.000

Values from the calculation:
magnetic moment	0.00	μB per cell
uncorrected formation energy	-264.77	kJ per mole of atoms

***

[2]
The following is a DFT calculation (GGA-PBE) of a relaxed structure of Te2PtW.

abc: 6.163 6.163 7.305
angles: 65.05 65.05 90.00
Sites, in units of the cell vectors:
Pt 0.750 0.250 0.500
Pt 0.000 0.000 0.000
Te 0.127 0.625 0.250
Te 0.623 0.125 0.250
Te 0.375 0.377 0.750
Te 0.875 0.873 0.750
W 0.250 0.750 0.500
W 0.500 0.500 0.000

Values from the calculation:
magnetic moment	0.00	μB per cell
uncorrected formation energy	50.42	kJ per mole of atoms

***

[3]
The following is a DFT calculation (GGA-PBE) of a relaxed structure of TbSi4Rh4.

abc: 4.705 8.001 8.001
angles: 90.00 90.00 90.00
Sites, in units of the cell vectors:
Tb 0.000 0.000 0.000
Tb 0.500 0.500 0.500
Si 0.077 0.197 0.352
Si 0.423 0.303 0.148
Si 0.423 0.697 0.852
Si 0.923 0.648 0.197
Si 0.923 0.352 0.803
Si 0.577 0.148 0.697
Si 0.577 0.852 0.303
Si 0.077 0.803 0.648
Rh 0.581 0.136 0.372
Rh 0.081 0.128 0.636
Rh 0.081 0.872 0.364
Rh 0.919 0.636 0.872
Rh 0.419 0.372 0.864
Rh 0.581 0.864 0.628
Rh 0.419 0.628 0.136
Rh 0.919 0.364 0.128

Values from the calculation:
magnetic moment	0.00	μB per cell
uncorrected formation energy	-68.81	kJ per mole of atoms

***

[4]
The following is a DFT calculation (GGA-PBE) of a relaxed structure of La4ReNi.

abc: 6.099 6.099 6.099
angles: 60.00 60.00 60.00
Sites, in units of the cell vectors:
Re 0.000 0.000 0.000
La 0.877 0.374 0.374
La 0.374 0.374 0.877
La 0.374 0.877 0.374
La 0.374 0.374 0.374
Ni 0.750 0.750 0.750

Values from the calculation:
magnetic moment	0.00	μB per cell
DFT formation energy	6.7	eV per formula unit

***

[5]
The following is a DFT calculation (GGA-PBE) of a relaxed structure of ThUBi6.

abc: 4.615 4.580 12.299
angles: 90.00 100.81 90.00
Site moments in Bohr magnetons follow the coordinates.
Sites, in units of the cell vectors:
Bi 0.569 0.500 0.138  0.01
Bi 0.303 0.500 0.606  -0.02
Bi 0.067 0.000 0.134  -0.01
Bi 0.936 0.500 0.871  0.03
Bi 0.436 0.000 0.871  0.02
Bi 0.690 0.000 0.380  -0.07
U 0.171 0.500 0.342  2.28
Th 0.828 0.000 0.657  -0.02

Values from the calculation:
magnetic moment	2.33	μB per cell
DFT formation energy	-0.8	eV per formula unit

***

[6]
The following is a DFT calculation (GGA-PBE) of a relaxed structure of Li2TlCoH6.

abc: 6.485 4.538 4.538
angles: 120.00 90.00 90.00
Site moments in Bohr magnetons follow the coordinates.
Sites, in units of the cell vectors:
Li 0.935 0.667 0.333  0.00
Li 0.065 0.333 0.667  0.00
Tl 0.500 0.000 0.000  0.00
H 0.860 0.158 0.842  0.00
H 0.860 0.158 0.316  0.00
H 0.860 0.684 0.842  0.00
H 0.140 0.316 0.158  0.00
H 0.140 0.842 0.158  0.00
H 0.140 0.842 0.684  0.00
Co 0.000 0.000 0.000  -0.12

Values from the calculation:
magnetic moment	0.11	μB per cell
VASP energy	-34.61	eV for the cell shown

***

[7]
The following is a DFT calculation (GGA-PBE) of a relaxed structure of Y5CSe4.

abc: 5.659 6.957 6.957
angles: 80.48 66.00 66.00
Sites, in units of the cell vectors:
Y 0.261 0.831 0.649
Y 0.501 0.000 0.000
Y 0.741 0.169 0.351
Y 0.092 0.649 0.169
Y 0.910 0.351 0.831
C 0.001 0.000 0.000
Se 0.593 0.602 0.215
Se 0.195 0.215 0.398
Se 0.807 0.785 0.602
Se 0.409 0.398 0.785

Values from the calculation:
magnetic moment	0.00	μB per cell
uncorrected formation energy	-148.48	kJ per mole of atoms

***

[8]
The following is a DFT calculation (GGA-PBE) of a relaxed structure of TbNdP2.

abc: 4.101 4.101 7.095
angles: 73.18 73.18 60.01
Sites, in units of the cell vectors:
P 0.747 0.747 0.758
P 0.253 0.253 0.242
Tb 0.000 0.000 0.000
Nd 0.500 0.500 0.500

Values from the calculation:
magnetic moment	0.00	μB per cell
DFT formation energy	-6.3	eV per formula unit

***

[9]
The following is a DFT calculation (GGA-PBE) of a relaxed structure of TiBe3As.

abc: 4.452 4.452 4.452
angles: 90.00 90.00 90.00
Site moments in Bohr magnetons follow the coordinates.
Sites, in units of the cell vectors:
Be 0.500 0.000 0.000  0.10
Be 0.000 0.500 0.000  0.06
Be 0.000 0.000 0.500  0.01
Ti 0.000 0.000 0.000  0.67
As 0.500 0.500 0.500  -0.03

Values from the calculation:
magnetic moment	0.92	μB per cell
DFT formation energy	8.0	eV per formula unit

***

[10]
The following is a DFT calculation (GGA-PBE) of a relaxed structure of ZrTi6Ga4.

abc: 6.719 6.719 6.719
angles: 85.56 122.60 122.60
Site moments in Bohr magnetons follow the coordinates.
Sites, in units of the cell vectors:
Zr 0.000 0.000 0.000  -0.03
Ti 0.000 0.902 0.522  0.07
Ti 0.500 0.500 0.000  0.07
Ti 0.000 0.522 0.902  0.07
Ti 0.380 0.478 0.478  0.07
Ti 0.500 0.000 0.500  0.07
Ti 0.620 0.098 0.098  0.07
Ga 0.660 0.400 0.400  0.00
Ga 0.340 0.740 0.740  0.00
Ga 0.000 0.600 0.260  0.00
Ga 0.000 0.260 0.600  0.00

Values from the calculation:
magnetic moment	0.51	μB per cell
DFT formation energy	-0.4	eV per formula unit

***

[11]
The following is a DFT calculation (GGA-PBE) of a relaxed structure of Ba8NaZn2.

abc: 6.778 9.583 9.583
angles: 111.06 97.90 97.90
Sites, in units of the cell vectors:
Ba 0.500 0.749 0.251
Ba 0.905 0.667 0.939
Ba 0.500 0.251 0.749
Ba 0.708 0.380 0.380
Ba 0.292 0.620 0.620
Ba 0.095 0.333 0.061
Ba 0.905 0.939 0.667
Ba 0.095 0.061 0.333
Zn 0.000 0.316 0.684
Zn 0.000 0.684 0.316
Na 0.500 0.000 0.000

Values from the calculation:
magnetic moment	0.00	μB per cell
DFT formation energy	-0.1	eV per formula unit

***

[12]
The following is a DFT calculation (GGA-PBE) of a relaxed structure of LiNiB2S.

abc: 3.578 4.605 3.578
angles: 90.00 90.00 90.00
Sites, in units of the cell vectors:
B 0.500 0.000 0.000
B 0.000 0.000 0.500
S 0.500 0.500 0.500
Ni 0.000 0.500 0.000
Li 0.000 0.000 0.000

Values from the calculation:
magnetic moment	0.00	μB per cell
uncorrected formation energy	157.70	kJ per mole of atoms

***

[13]
The following is a DFT calculation (GGA-PBE) of a relaxed structure of Dy2Er4Tm7.

abc: 9.251 7.809 6.046
angles: 97.44 96.21 65.13
Sites, in units of the cell vectors:
Er 0.846 0.923 0.462
Er 0.770 0.385 0.692
Er 0.230 0.615 0.308
Er 0.154 0.077 0.538
Tm 0.461 0.230 0.615
Tm 0.539 0.770 0.385
Tm 0.692 0.846 0.923
Tm 0.077 0.538 0.769
Tm 0.000 0.000 0.000
Tm 0.308 0.154 0.077
Tm 0.923 0.462 0.231
Dy 0.384 0.693 0.846
Dy 0.616 0.307 0.154

Values from the calculation:
magnetic moment	0.00	μB per cell
DFT formation energy	0.3	eV per formula unit

***

[14]
The following is a DFT calculation (GGA-PBE) of a relaxed structure of Li2YCd.

abc: 6.270 6.270 3.286
angles: 76.22 76.22 120.41
Sites, in units of the cell vectors:
Li 0.500 0.500 0.000
Li 0.000 0.000 0.000
Y 0.500 0.000 0.500
Cd 0.000 0.500 0.500

Values from the calculation:
magnetic moment	0.00	μB per cell
DFT formation energy	0.1	eV per formula unit

***

[15]
The following is a DFT calculation (GGA-PBE) of a relaxed structure of Os2RuRh3.

abc: 3.837 5.416 8.202
angles: 90.38 90.00 90.00
Sites, in units of the cell vectors:
Ru 0.750 0.125 0.244
Ru 0.250 0.875 0.756
Os 0.750 0.115 0.925
Os 0.750 0.619 0.580
Os 0.250 0.885 0.075
Os 0.250 0.381 0.420
Rh 0.750 0.123 0.584
Rh 0.750 0.626 0.911
Rh 0.250 0.375 0.743
Rh 0.250 0.877 0.416
Rh 0.250 0.374 0.089
Rh 0.750 0.625 0.257

Values from the calculation:
magnetic moment	0.00	μB per cell
DFT formation energy	0.3	eV per formula unit

***

[16]
The following is a DFT calculation (GGA-PBE) of a relaxed structure of MgSb2Te.

abc: 3.733 5.291 5.352
angles: 90.00 90.00 90.00
Sites, in units of the cell vectors:
Sb 0.000 0.000 0.000
Sb 0.500 0.500 0.000
Te 0.500 0.000 0.500
Mg 0.000 0.500 0.500

Values from the calculation:
magnetic moment	0.00	μB per cell
uncorrected formation energy	1.14	kJ per mole of atoms

***

[17]
The following is a DFT calculation (GGA-PBE) of a relaxed structure of NaHo5In6.

abc: 5.281 7.469 8.391
angles: 90.00 71.59 90.00
Sites, in units of the cell vectors:
In 0.166 0.751 0.668
In 0.834 0.751 0.332
In 0.166 0.249 0.668
In 0.500 0.757 0.000
In 0.500 0.243 0.000
In 0.834 0.249 0.332
Ho 0.335 0.000 0.330
Ho 0.336 0.500 0.327
Ho 0.665 0.000 0.670
Ho 0.000 0.500 0.000
Ho 0.664 0.500 0.673
Na 0.000 0.000 0.000

Values from the calculation:
magnetic moment	0.00	μB per cell
DFT formation energy	-4.7	eV per formula unit

***

[18]
The following is a DFT calculation (GGA-PBE) of a relaxed structure of Tb6PmTm.

abc: 6.736 6.543 7.022
angles: 76.04 60.59 89.75
Sites, in units of the cell vectors:
Tm 0.000 0.500 0.000
Tb 0.905 0.232 0.517
Tb 0.545 0.747 0.003
Tb 0.095 0.768 0.483
Tb 0.569 0.727 0.528
Tb 0.431 0.273 0.472
Tb 0.455 0.253 0.997
Pm 0.000 0.000 0.000

Values from the calculation:
magnetic moment	0.00	μB per cell
DFT formation energy	1.6	eV per formula unit

***

[19]
The following is a DFT calculation (GGA-PBE) of a relaxed structure of AlSiTc.

abc: 3.384 3.384 7.699
angles: 90.00 90.00 90.00
Sites, in units of the cell vectors:
Tc 0.750 0.750 0.234
Tc 0.250 0.250 0.766
Al 0.250 0.250 0.400
Al 0.750 0.750 0.600
Si 0.750 0.250 0.000
Si 0.250 0.750 0.000

Values from the calculation:
magnetic moment	0.00	μB per cell
uncorrected formation energy	-45.73	kJ per mole of atoms

***

[20]
The following is a DFT calculation (GGA-PBE) of a relaxed structure of Mg2CdAg9.

abc: 4.158 4.158 12.583
angles: 90.00 90.00 90.00
Sites, in units of the cell vectors:
Cd 0.000 0.000 0.000
Ag 0.000 0.500 0.830
Ag 0.000 0.500 0.500
Ag 0.500 0.500 0.000
Ag 0.500 0.000 0.170
Ag 0.000 0.500 0.170
Ag 0.500 0.500 0.665
Ag 0.500 0.000 0.830
Ag 0.500 0.500 0.335
Ag 0.500 0.000 0.500
Mg 0.000 0.000 0.335
Mg 0.000 0.000 0.665

Values from the calculation:
magnetic moment	0.00	μB per cell
DFT formation energy	-1.2	eV per formula unit

***

[21]
The following is a DFT calculation (GGA-PBE) of a relaxed structure of SrSb4Au4.

abc: 5.921 9.088 9.088
angles: 90.00 90.00 90.00
Sites, in units of the cell vectors:
Sb 0.615 0.840 0.632
Sb 0.885 0.660 0.868
Sb 0.885 0.340 0.132
Sb 0.115 0.132 0.660
Sb 0.615 0.160 0.368
Sb 0.115 0.868 0.340
Sb 0.385 0.632 0.160
Sb 0.385 0.368 0.840
Au 0.609 0.870 0.292
Au 0.391 0.292 0.130
Au 0.609 0.130 0.708
Au 0.109 0.208 0.370
Au 0.891 0.630 0.208
Au 0.391 0.708 0.870
Au 0.109 0.792 0.630
Au 0.891 0.370 0.792
Sr 0.000 0.000 0.000
Sr 0.500 0.500 0.500

Values from the calculation:
magnetic moment	0.00	μB per cell
uncorrected formation energy	-23.93	kJ per mole of atoms

***

[22]
The following is a DFT calculation (GGA-PBE) of a relaxed structure of Sr4MgAs.

abc: 7.080 7.080 7.080
angles: 60.00 60.00 60.00
Sites, in units of the cell vectors:
Sr 0.376 0.376 0.376
Sr 0.376 0.376 0.873
Sr 0.873 0.376 0.376
Sr 0.376 0.873 0.376
As 0.750 0.750 0.750
Mg 0.000 0.000 0.000

Values from the calculation:
magnetic moment	0.01	μB per cell
DFT formation energy	2.3	eV per formula unit

***

[23]
The following is a DFT calculation (GGA-PBE) of a relaxed structure of SbS6I2.

abc: 4.462 9.737 7.996
angles: 113.41 88.60 91.70
Sites, in units of the cell vectors:
S 0.082 0.364 0.247
S 0.918 0.636 0.753
S 0.890 0.575 0.325
S 0.110 0.425 0.675
S 0.100 0.712 0.563
S 0.900 0.288 0.437
I 0.516 0.097 0.809
I 0.484 0.903 0.191
Sb 0.000 0.000 0.000

Values from the calculation:
magnetic moment	0.00	μB per cell
uncorrected formation energy	3.50	kJ per mole of atoms